YZr2Be | PBE-GGA | relaxed

Results
The value obtained for the density of states at the Fermi level is 1.202 states/eV per atom. For the total energy, the calculation gives -0.2429 hartree per atom. The total magnetization is 0.00 μB/atom. The calculation puts the formation energy at 0.212 eV per atom. As for the crystal system: tetragonal.

Structure (extended XYZ):
```
4
Lattice="-4.097 1.256 -1.230 0.345 -2.420 -3.619 -1.687 -3.421 2.127" Properties=species:S:1:pos:R:3 pbc="T T T"
Zr -0.671 -2.921 -0.746
Zr 0.000 0.000 0.000
Y -2.892 -1.082 0.448
Be -1.876 -0.582 -2.425
```


YZr2Be | PBE-GGA | relaxed

Results
The value obtained for the density of states at the Fermi level is 1.102 states/eV per atom. For the total energy, the calculation gives -0.2477 hartree per atom. The total magnetization is 0.00 μB/atom. The calculation puts the formation energy at 0.082 eV per atom. As for the crystal system: tetragonal.

Structure (extended XYZ):
```
4
Lattice="3.156 0.000 0.000 0.000 3.156 0.000 0.000 0.000 8.593" Properties=species:S:1:pos:R:3 pbc="T T T"
Zr 0.000 0.000 3.764
Zr 0.000 0.000 0.533
Be 1.578 1.578 2.148
Y 1.578 1.578 6.445
```


YZr2Be | PBE-GGA | relaxed

Results
The value obtained for the density of states at the Fermi level is 1.004 states/eV per atom. For the total energy, the calculation gives -0.2435 hartree per atom. The total magnetization is 0.00 μB/atom. The calculation puts the formation energy at 0.197 eV per atom. As for the crystal system: monoclinic.

Structure (extended XYZ):
```
4
Lattice="-4.432 -0.128 0.837 -0.623 -0.113 -3.316 -0.109 -5.949 -1.484" Properties=species:S:1:pos:R:3 pbc="T T T"
Zr -2.518 -1.556 -1.408
Zr -0.026 -0.398 -0.197
Be -0.250 -2.961 -1.774
Y -2.736 -4.305 -2.985
```


Y2ZrBe | PBE-GGA | relaxed

Results
The value obtained for the density of states at the Fermi level is 1.047 states/eV per atom. For the total energy, the calculation gives -0.2285 hartree per atom. The total magnetization is 0.00 μB/atom. The calculation puts the formation energy at 0.083 eV per atom. As for the crystal system: orthorhombic.

Structure (extended XYZ):
```
4
Lattice="6.237 0.007 0.002 5.279 3.321 0.002 2.056 0.594 4.593" Properties=species:S:1:pos:R:3 pbc="T T T"
Y 10.222 2.954 3.426
Y 11.136 3.218 0.189
Zr 7.240 2.092 2.080
Be 3.277 0.947 1.203
```


Y2ZrBe | PBE-GGA | relaxed

Results
The value obtained for the density of states at the Fermi level is 1.606 states/eV per atom. For the total energy, the calculation gives -0.2285 hartree per atom. The total magnetization is 0.00 μB/atom. The calculation puts the formation energy at 0.083 eV per atom. As for the crystal system: tetragonal.

Structure (extended XYZ):
```
4
Lattice="-2.186 -2.403 0.940 -0.671 -0.659 -3.248 6.127 -5.624 -0.125" Properties=species:S:1:pos:R:3 pbc="T T T"
Zr 3.413 -3.132 -0.069
Y 0.282 -3.101 -1.189
Y 5.765 -5.291 -0.117
Be 3.002 -5.597 -1.244
```


Y2ZrBe | PBE-GGA | relaxed

Results
The value obtained for the density of states at the Fermi level is 1.003 states/eV per atom. For the total energy, the calculation gives -0.2213 hartree per atom. The total magnetization is 0.00 μB/atom. The calculation puts the formation energy at 0.278 eV per atom. As for the crystal system: trigonal.

Structure (extended XYZ):
```
4
Lattice="9.849 0.006 0.003 9.247 3.390 0.003 9.247 1.644 2.964" Properties=species:S:1:pos:R:3 pbc="T T T"
Zr 7.086 1.260 0.743
Be 21.257 3.779 2.228
Y 13.852 2.463 1.452
Y 0.319 0.057 0.033
```